A relaxed structure of KMnCl2O, computed with PBE with a Hubbard U.

Unit cell a=5.239 b=5.239 c=3.772 alpha=90.00 beta=90.00 gamma=90.00
Space group P4/mmm (No. 123)
Inequivalent atoms, fractional coordinates:
K 0.000 0.000 0.000 x1
Mn 0.500 0.500 0.500 x1
Cl 0.000 0.500 0.500 x2
O 0.500 0.500 0.000 x1

Calculated values
The total energy is -4.85 eV per atom. As for the mass density: 2.90 g/cm³.

A relaxed structure of KMnCl3O2, computed with PBE with a Hubbard U.

Unit cell a=6.530 b=7.389 c=9.308 alpha=69.45 beta=87.13 gamma=66.61
Space group P-1 (No. 2)
Inequivalent atoms, fractional coordinates:
K 0.160 0.212 0.302 x2
Mn 0.233 0.098 0.791 x2
Cl 0.087 0.698 0.352 x2
Cl 0.164 0.326 0.923 x2
Cl 0.304 0.863 0.652 x2
O 0.238 0.908 0.944 x2
O 0.455 0.134 0.729 x2

Calculated values
The total energy is -4.22 eV per atom. As for the mass density: 2.01 g/cm³.